Entry 1:
# GGA-PBE CaAcPdPb, optimized geometry
# total magnetic moment = 0.00 μB/atom
# excess energy over the best structure of this formula in the dataset = 37 meV/atom
# calculated formation energy = -559 meV per atom
# total DFT energy (no corrections) = -4.31 eV per atom
data_CaAcPdPb
_space_group_name_H-M_alt 'F -4 3 m'
_space_group_IT_number 216
_space_group_name_Hall 'F -4 2 3'
_cell_length_a 7.7739
_cell_length_b 7.7739
_cell_length_c 7.7739
_cell_angle_alpha 90.00
_cell_angle_beta 90.00
_cell_angle_gamma 90.00
loop_
_atom_site_label
_atom_site_type_symbol
_atom_site_fract_x
_atom_site_fract_y
_atom_site_fract_z
_atom_site_occupancy
Ca1 Ca 0.0000 0.0000 0.0000 1
Ac1 Ac 0.0000 0.0000 0.5000 1
Pd1 Pd 0.2500 0.2500 0.7500 1
Pb1 Pb 0.2500 0.2500 0.2500 1



Entry 2:
# GGA-PBE CaAc2Pd6Pb3, optimized geometry
# total magnetic moment = 0.00 μB/atom
# calculated formation energy = -569 meV per atom
# total DFT energy (no corrections) = -4.94 eV per atom
data_CaAc2Pd6Pb3
_space_group_name_H-M_alt 'P 4/m m m'
_space_group_IT_number 123
_space_group_name_Hall '-P 4 2'
_cell_length_a 4.2997
_cell_length_b 4.2997
_cell_length_c 16.0942
_cell_angle_alpha 90.00
_cell_angle_beta 90.00
_cell_angle_gamma 90.00
loop_
_atom_site_label
_atom_site_type_symbol
_atom_site_fract_x
_atom_site_fract_y
_atom_site_fract_z
_atom_site_occupancy
Ca1 Ca 0.0000 0.0000 0.0000 1
Ac1 Ac 0.0000 0.0000 0.3549 1
Pd1 Pd 0.0000 0.5000 0.2110 1
Pd2 Pd 0.5000 0.5000 0.3273 1
Pb1 Pb 0.5000 0.5000 0.1027 1
Pb2 Pb 0.5000 0.5000 0.5000 1